(1)
DFT (PBE-GGA) results for a relaxed structure of FeCuTcBi.

Results
final energy	-6.051	eV per atom
relative energy among the computed polymorphs	0	meV/atom

Unit cell a=6.359 b=6.359 c=6.359 alpha=90.00 beta=90.00 gamma=90.00
Space group F-43m (No. 216)
One atom of each set of equivalent atoms:
Fe  0.000  0.000  0.000
Cu  0.250  0.250  0.750
Tc  0.250  0.250  0.250
Bi  0.000  0.000  0.500

---

(2)
DFT (PBE-GGA) results for a relaxed structure of LaSmI2BrN.

Results
final energy	-5.448	eV per atom
relative energy among the computed polymorphs	0	meV/atom

Unit cell a=19.044 b=4.131 c=12.169 alpha=90.00 beta=122.70 gamma=90.00
Space group C2/m (No. 12)
One atom of each set of equivalent atoms:
La  0.129  0.000  0.277
Sm  0.076  0.500  0.963
I  0.052  0.000  0.747
I  0.162  0.500  0.518
Br  0.206  0.000  0.110
N  0.068  0.500  0.148

---

(3)
DFT (PBE-GGA) results for a relaxed structure of ZrZn20Ni2.

Results
final energy	-2.137	eV per atom
ΔE_f	-0.181	eV/atom

Unit cell a=13.859 b=13.859 c=13.859 alpha=90.00 beta=90.00 gamma=90.00
Space group Fd-3m (No. 227, origin choice 2)
One atom of each set of equivalent atoms:
Zr  0.125  0.125  0.125
Zn  0.000  0.000  0.000
Zn  0.012  0.375  0.875
Zn  0.060  0.060  0.323
Ni  0.000  0.000  0.500

---

(4)
DFT (PBE-GGA) results for a relaxed structure of Ho4TlTeC2.

Results
final energy	-5.898	eV per atom

Unit cell a=3.6881 b=3.6881 c=15.1667 alpha=90.00 beta=90.00 gamma=120.00
Space group P-6m2 (No. 187)
One atom of each set of equivalent atoms:
Ho  0.0000  0.0000  0.1516
Ho  0.3333  0.6667  0.3258
Tl  0.0000  0.0000  0.5000
Te  0.3333  0.6667  0.0000
C  0.6667  0.3333  0.2366

---

(5)
DFT (PBE-GGA) results for a relaxed structure of Pd2PbAu.

Results
final energy	-4.425	eV per atom

Unit cell a=6.642 b=6.642 c=6.642 alpha=90.00 beta=90.00 gamma=90.00
Space group F-43m (No. 216)
One atom of each set of equivalent atoms:
Pd  0.000  0.000  0.000
Pd  0.250  0.250  0.250
Pb  0.000  0.000  0.500
Au  0.250  0.250  0.750

---

(6)
DFT (PBE-GGA) results for a relaxed structure of LiMg2ScCd2Hg2.

Results
final energy	-2.001	eV per atom

Unit cell a=4.871 b=4.871 c=6.892 alpha=90.00 beta=90.00 gamma=90.00
Space group P-4m2 (No. 115)
One atom of each set of equivalent atoms:
Li  0.000  0.000  0.000
Mg  0.000  0.000  0.500
Mg  0.500  0.500  0.000
Sc  0.500  0.500  0.500
Cd  0.000  0.500  0.240
Hg  0.000  0.500  0.752

---

(7)
DFT (PBE-GGA) results for a relaxed structure of PrEr2Mg3AgHg2.

Results
final energy	-2.796	eV per atom

Unit cell a=4.198 b=13.592 c=7.773 alpha=90.00 beta=90.00 gamma=90.00
Space group Amm2 (No. 38)
One atom of each set of equivalent atoms:
Pr  0.000  0.000  0.000
Er  0.000  0.204  0.615
Mg  0.500  0.000  0.653
Mg  0.500  0.123  0.291
Ag  0.000  0.000  0.418
Hg  0.500  0.172  0.909

---

(8)
DFT (PBE-GGA) results for a relaxed structure of ZrBeZnPt.

Results
final energy	-5.378	eV per atom
relative energy among the computed polymorphs	0	meV/atom

Unit cell a=6.267 b=6.267 c=6.267 alpha=90.00 beta=90.00 gamma=90.00
Space group F-43m (No. 216)
One atom of each set of equivalent atoms:
Zr  0.000  0.000  0.000
Be  0.250  0.250  0.250
Zn  0.000  0.000  0.500
Pt  0.250  0.250  0.750

---

(9)
DFT (PBE-GGA) results for a relaxed structure of Cs2Nd4Cu4Te9.

Results
final energy	-4.351	eV per atom

Unit cell a=15.775 b=4.477 c=18.155 alpha=90.00 beta=108.26 gamma=90.00
Space group C2/m (No. 12)
One atom of each set of equivalent atoms:
Cs  0.030  0.000  0.271
Nd  0.154  0.500  0.555
Nd  0.229  0.000  0.099
Cu  0.076  0.500  0.974
Cu  0.246  0.000  0.732
Te  0.000  0.000  0.500
Te  0.101  0.500  0.125
Te  0.132  0.000  0.922
Te  0.157  0.500  0.727
Te  0.200  0.500  0.396

---

(10)
DFT (PBE-GGA) results for a relaxed structure of DyGaAs.

Results
final energy	-4.446	eV per atom
relative energy among the computed polymorphs	0	meV/atom

Unit cell a=6.755 b=6.755 c=6.755 alpha=90.00 beta=90.00 gamma=90.00
Space group F-43m (No. 216)
One atom of each set of equivalent atoms:
Dy  0.000  0.000  0.000
Ga  0.250  0.250  0.250
As  0.250  0.250  0.750

---

(11)
DFT (PBE-GGA) results for a relaxed structure of LiNbAgAu.

Results
final energy	-4.500	eV per atom
relative energy among the computed polymorphs	0	meV/atom

Unit cell a=6.469 b=6.469 c=6.469 alpha=90.00 beta=90.00 gamma=90.00
Space group F-43m (No. 216)
One atom of each set of equivalent atoms:
Li  0.000  0.000  0.000
Nb  0.000  0.000  0.500
Ag  0.250  0.250  0.750
Au  0.250  0.250  0.250

---

(12)
DFT (PBE-GGA) results for a relaxed structure of CsNbAgTeS2.

Results
final energy	-4.815	eV per atom

Unit cell a=3.732 b=17.162 c=10.571 alpha=90.00 beta=90.00 gamma=90.00
Space group Cmcm (No. 63)
One atom of each set of equivalent atoms:
Cs  0.000  0.223  0.250
Nb  0.000  0.000  0.000
Ag  0.000  0.464  0.750
Te  0.000  0.083  0.750
S  0.000  0.402  0.542

---

(13)
DFT (PBE-GGA) results for a relaxed structure of Hf4BiAuN2.

Results
final energy	-8.922	eV per atom

Unit cell a=3.3117 b=3.3117 c=14.1413 alpha=90.00 beta=90.00 gamma=120.00
Space group P-6m2 (No. 187)
One atom of each set of equivalent atoms:
Hf  0.0000  0.0000  0.1556
Hf  0.6667  0.3333  0.3273
Bi  0.0000  0.0000  0.5000
Au  0.6667  0.3333  0.0000
N  0.3333  0.6667  0.2394

---

(14)
DFT (PBE-GGA) results for a relaxed structure of TmGeAs.

Results
final energy	-4.913	eV per atom
relative energy among the computed polymorphs	0	meV/atom

Unit cell a=6.649 b=6.649 c=6.649 alpha=90.00 beta=90.00 gamma=90.00
Space group F-43m (No. 216)
One atom of each set of equivalent atoms:
Tm  0.000  0.000  0.000
Ge  0.000  0.000  0.500
As  0.250  0.250  0.750

---

(15)
DFT (PBE-GGA) results for a relaxed structure of HoTm2Ga3Ge2Pd.

Results
final energy	-4.882	eV per atom

Unit cell a=4.203 b=12.092 c=6.947 alpha=90.00 beta=90.00 gamma=90.00
Space group Amm2 (No. 38)
One atom of each set of equivalent atoms:
Ho  0.000  0.000  0.000
Tm  0.000  0.206  0.382
Ga  0.500  0.000  0.349
Ga  0.500  0.119  0.706
Ge  0.500  0.168  0.088
Pd  0.000  0.000  0.585

---

(16)
DFT (PBE-GGA) results for a relaxed structure of Tb3TmPb2N2.

Results
final energy	-6.400	eV per atom

Unit cell a=3.5460 b=3.5460 c=15.6276 alpha=90.00 beta=90.00 gamma=120.00
Space group P3m1 (No. 156)
One atom of each set of equivalent atoms:
Tb  0.0000  0.0000  0.0000
Tb  0.0000  0.0000  0.3337
Tb  0.3333  0.6667  0.5021
Tm  0.3333  0.6667  0.8350
Pb  0.0000  0.0000  0.6702
Pb  0.3333  0.6667  0.1664
N  0.6667  0.3333  0.4178
N  0.6667  0.3333  0.9124

---

(17)
DFT (PBE-GGA) results for a relaxed structure of CoIrOs2.

Results
final energy	-9.044	eV per atom
ΔE_f	0.559	eV/atom

Unit cell a=6.056 b=6.056 c=6.056 alpha=90.00 beta=90.00 gamma=90.00
Space group F-43m (No. 216)
One atom of each set of equivalent atoms:
Co  0.000  0.000  0.000
Ir  0.250  0.250  0.750
Os  0.000  0.000  0.500
Os  0.250  0.250  0.250

---

(18)
DFT (PBE-GGA) results for a relaxed structure of CdGa2Pt.

Results
final energy	-3.359	eV per atom

Unit cell a=6.601 b=6.601 c=6.601 alpha=90.00 beta=90.00 gamma=90.00
Space group F-43m (No. 216)
One atom of each set of equivalent atoms:
Cd  0.000  0.000  0.000
Ga  0.000  0.000  0.500
Ga  0.250  0.250  0.250
Pt  0.250  0.250  0.750

---

(19)
DFT (PBE-GGA) results for a relaxed structure of ScCo6Ge6.

Results
final energy	-6.258	eV per atom

Unit cell a=5.0407 b=5.0407 c=7.7564 alpha=90.00 beta=90.00 gamma=120.00
Space group P6/mmm (No. 191)
One atom of each set of equivalent atoms:
Sc  0.0000  0.0000  0.0000
Co  0.0000  0.5000  0.2498
Ge  0.0000  0.0000  0.3397
Ge  0.3333  0.6667  0.0000
Ge  0.3333  0.6667  0.5000

---

(20)
DFT (PBE-GGA) results for a relaxed structure of PmNpNb.

Results
final energy	-8.199	eV per atom
ΔE_f	1.004	eV/atom
relative energy among the computed polymorphs	0	meV/atom

Unit cell a=6.893 b=6.893 c=6.893 alpha=90.00 beta=90.00 gamma=90.00
Space group F-43m (No. 216)
One atom of each set of equivalent atoms:
Pm  0.000  0.000  0.000
Np  0.000  0.000  0.500
Nb  0.250  0.250  0.750